(1)
First-principles (SCAN) data for a PBEsol-optimized structure of Zn2MoF, as listed in the Alexandria database.

Lattice parameters (Å, degrees): 6.1187 6.1187 6.1187 90.00 90.00 90.00
Space group Fm-3m (No. 225)
Inequivalent atoms, fractional coordinates:
Zn 0.2500 0.2500 0.2500
Mo 0.0000 0.0000 0.0000
F 0.0000 0.0000 0.5000

Summary:
- volume (Å³/cell) = 229
- electronic total energy (eV/cell) = -256.40
- crystal system = cubic
- total moment (Bohr magnetons per cell) = 12.36

(2)
First-principles (SCAN) data for a PBEsol-optimized structure of NaS2NO4F2, as listed in the Alexandria database.

Lattice parameters (Å, degrees): 7.4947 9.1462 8.9226 90.00 106.43 90.00
Space group P2_1/c (No. 14)
Inequivalent atoms, fractional coordinates:
Na 0.2457 0.0140 0.0631
S 0.0112 0.2245 0.7309
S 0.3750 0.7261 0.8882
N 0.1776 0.6997 0.3588
O 0.0072 0.1411 0.8672
O 0.1589 0.1733 0.2441
O 0.4012 0.6338 0.7666
O 0.4896 0.1636 0.0470
F 0.0397 0.1035 0.6118
F 0.3824 0.6181 0.0291

Summary:
- volume (Å³/cell) = 587
- electronic total energy (eV/cell) = -319.75
- crystal system = monoclinic
- total moment (Bohr magnetons per cell) = 0.00

(3)
First-principles (SCAN) data for a PBEsol-optimized structure of NaOsN2F, as listed in the Alexandria database.

Lattice parameters (Å, degrees): 3.7641 3.7641 4.5245 90.00 90.00 90.00
Space group P4/mmm (No. 123)
Inequivalent atoms, fractional coordinates:
Na 0.0000 0.0000 0.0000
Os 0.5000 0.5000 0.5000
N 0.0000 0.5000 0.5000
F 0.5000 0.5000 0.0000

Summary:
- volume (Å³/cell) = 64
- electronic total energy (eV/cell) = -99.84
- crystal system = tetragonal
- total moment (Bohr magnetons per cell) = 0.00

(4)
First-principles (SCAN) data for a PBEsol-optimized structure of NaSN2F, as listed in the Alexandria database.

Lattice parameters (Å, degrees): 4.7910 4.7910 3.8195 90.00 90.00 90.00
Space group P4/mmm (No. 123)
Inequivalent atoms, fractional coordinates:
Na 0.0000 0.0000 0.0000
S 0.5000 0.5000 0.0000
N 0.0000 0.5000 0.5000
F 0.5000 0.5000 0.5000

Summary:
- volume (Å³/cell) = 88
- electronic total energy (eV/cell) = -28.98
- crystal system = tetragonal
- total moment (Bohr magnetons per cell) = 6.01

(5)
First-principles (SCAN) data for a PBEsol-optimized structure of NaSNF2, as listed in the Alexandria database.

Lattice parameters (Å, degrees): 4.4058 4.4058 3.3036 90.00 90.00 90.00
Space group P4/mmm (No. 123)
Inequivalent atoms, fractional coordinates:
Na 0.0000 0.0000 0.0000
S 0.5000 0.5000 0.5000
N 0.5000 0.5000 0.0000
F 0.0000 0.5000 0.5000

Summary:
- volume (Å³/cell) = 64
- electronic total energy (eV/cell) = -33.80
- crystal system = tetragonal
- total moment (Bohr magnetons per cell) = 0.00

(6)
First-principles (SCAN) data for a PBEsol-optimized structure of NaScNF2, as listed in the Alexandria database.

Lattice parameters (Å, degrees): 3.7619 3.7619 4.3162 90.00 90.00 90.00
Space group P4/mmm (No. 123)
Inequivalent atoms, fractional coordinates:
Na 0.0000 0.0000 0.0000
Sc 0.5000 0.5000 0.5000
N 0.0000 0.0000 0.5000
F 0.0000 0.5000 0.0000

Summary:
- volume (Å³/cell) = 61
- electronic total energy (eV/cell) = -42.07
- crystal system = tetragonal
- total moment (Bohr magnetons per cell) = 1.00

(7)
First-principles (SCAN) data for a PBEsol-optimized structure of NaSeN2F, as listed in the Alexandria database.

Lattice parameters (Å, degrees): 3.6744 3.6744 4.6644 90.00 90.00 90.00
Space group P4/mmm (No. 123)
Inequivalent atoms, fractional coordinates:
Na 0.0000 0.0000 0.0000
Se 0.5000 0.5000 0.5000
N 0.0000 0.5000 0.5000
F 0.5000 0.5000 0.0000

Summary:
- volume (Å³/cell) = 63
- electronic total energy (eV/cell) = -44.85
- crystal system = tetragonal
- total moment (Bohr magnetons per cell) = 0.00

(8)
First-principles (SCAN) data for a PBEsol-optimized structure of NaSrNF2, as listed in the Alexandria database.

Lattice parameters (Å, degrees): 4.6455 4.6455 5.0601 90.00 90.00 90.00
Space group P4/mmm (No. 123)
Inequivalent atoms, fractional coordinates:
Na 0.0000 0.0000 0.0000
Sr 0.5000 0.5000 0.5000
N 0.5000 0.5000 0.0000
F 0.0000 0.5000 0.5000

Summary:
- volume (Å³/cell) = 109
- electronic total energy (eV/cell) = -51.06
- crystal system = tetragonal
- total moment (Bohr magnetons per cell) = 2.00

(9)
First-principles (SCAN) data for a PBEsol-optimized structure of NaTeN2F, as listed in the Alexandria database.

Lattice parameters (Å, degrees): 4.2337 4.2337 6.1471 90.00 90.00 90.00
Space group P4/mmm (No. 123)
Inequivalent atoms, fractional coordinates:
Na 0.0000 0.0000 0.0000
Te 0.0000 0.0000 0.5000
N 0.0000 0.5000 0.0000
F 0.5000 0.5000 0.5000

Summary:
- volume (Å³/cell) = 110
- electronic total energy (eV/cell) = -55.58
- crystal system = tetragonal
- total moment (Bohr magnetons per cell) = 5.59

(10)
First-principles (SCAN) data for a PBEsol-optimized structure of NaYNF2, as listed in the Alexandria database.

Lattice parameters (Å, degrees): 4.3723 4.3723 4.3646 90.00 90.00 90.00
Space group P4/mmm (No. 123)
Inequivalent atoms, fractional coordinates:
Na 0.0000 0.0000 0.0000
Y 0.5000 0.5000 0.5000
N 0.5000 0.5000 0.0000
F 0.0000 0.5000 0.5000

Summary:
- volume (Å³/cell) = 83
- electronic total energy (eV/cell) = -59.74
- crystal system = tetragonal
- total moment (Bohr magnetons per cell) = 1.01

(11)
First-principles (SCAN) data for a PBEsol-optimized structure of NaZnNF2, as listed in the Alexandria database.

Lattice parameters (Å, degrees): 3.9753 3.9753 4.3203 90.00 90.00 90.00
Space group P4/mmm (No. 123)
Inequivalent atoms, fractional coordinates:
Na 0.0000 0.0000 0.0000
Zn 0.5000 0.5000 0.5000
N 0.0000 0.0000 0.5000
F 0.0000 0.5000 0.0000

Summary:
- volume (Å³/cell) = 68
- electronic total energy (eV/cell) = -35.61
- crystal system = tetragonal
- total moment (Bohr magnetons per cell) = 2.01

(12)
First-principles (SCAN) data for a PBEsol-optimized structure of NaZrNF2, as listed in the Alexandria database.

Lattice parameters (Å, degrees): 3.6236 3.6236 4.4665 90.00 90.00 90.00
Space group P4/mmm (No. 123)
Inequivalent atoms, fractional coordinates:
Na 0.0000 0.0000 0.0000
Zr 0.5000 0.5000 0.5000
N 0.0000 0.0000 0.5000
F 0.0000 0.5000 0.0000

Summary:
- volume (Å³/cell) = 59
- electronic total energy (eV/cell) = -58.00
- crystal system = tetragonal
- total moment (Bohr magnetons per cell) = 0.00